Crystalline Pr2Ho8Th at its relaxed geometry. Source: Alexandria, functional PBE.

Cell: 5.594 10.205 10.205 Å, 39.20 93.43 93.43°
Atoms (fractional coordinates):
Ho: 0.273 0.612 0.133
Ho: 0.769 0.452 0.452
Ho: 0.225 0.181 0.181
Ho: 0.727 0.867 0.388
Ho: 0.231 0.548 0.548
Ho: 0.775 0.819 0.819
Ho: 0.727 0.388 0.867
Ho: 0.273 0.133 0.612
Pr: 0.252 0.718 0.718
Pr: 0.748 0.282 0.282
Th: 0.000 0.000 0.000

For the formation energy, the calculation gives 193 meV per atom. The total energy comes out at -0.1720 Ha/atom.

***

Crystalline K3NaS at its relaxed geometry. Source: Alexandria, functional PBE.

Cell: 6.212 6.212 6.212 Å, 90.00 90.00 90.00°
Atoms (fractional coordinates):
S: 0.000 0.000 0.000
K: 0.500 0.000 0.000
K: 0.000 0.000 0.500
K: 0.000 0.500 0.000
Na: 0.500 0.500 0.500

The energy relative to the elements, uncorrected is -0.56 eV per atom. The total energy comes out at -0.0847 Ha/atom.

***

Crystalline YMo2Os at its relaxed geometry. Source: Alexandria, functional PBE.

Cell: 2.927 2.927 8.464 Å, 90.00 90.00 89.96°
Atoms (fractional coordinates):
Mo: 0.000 0.000 0.459
Mo: 0.000 0.000 0.041
Y: 0.500 0.500 0.750
Os: 0.500 0.500 0.250

For the formation energy, the calculation gives 352 meV per atom. The total energy comes out at -0.3486 Ha/atom.

***

Crystalline Pm2Nd2Sm4Tm at its relaxed geometry. Source: Alexandria, functional PBE.

Cell: 3.659 9.664 9.743 Å, 115.09 90.00 100.91°
Atoms (fractional coordinates):
Sm: 0.518 0.036 0.330
Sm: 0.185 0.370 0.333
Sm: 0.482 0.964 0.670
Sm: 0.815 0.630 0.667
Nd: 0.665 0.330 0.999
Nd: 0.335 0.670 0.001
Pm: 0.148 0.295 0.666
Pm: 0.852 0.705 0.334
Tm: 0.000 0.000 0.000

For the formation energy, the calculation gives 11 meV per atom. The total energy comes out at -0.1727 Ha/atom.

***

Crystalline K2HgCl6 at its relaxed geometry. Source: Alexandria, functional PBE.

Cell: 7.427 7.614 9.785 Å, 90.00 97.97 90.00°
Atoms (fractional coordinates):
K: 0.483 0.959 0.248
K: 0.517 0.041 0.752
K: 0.017 0.459 0.252
K: 0.983 0.541 0.748
Cl: 0.744 0.821 0.555
Cl: 0.412 0.582 0.749
Cl: 0.732 0.803 0.002
Cl: 0.268 0.197 0.998
Cl: 0.756 0.321 0.945
Cl: 0.244 0.679 0.055
Cl: 0.588 0.418 0.251
Cl: 0.232 0.697 0.502
Cl: 0.912 0.918 0.249
Cl: 0.768 0.303 0.498
Cl: 0.256 0.179 0.445
Cl: 0.088 0.082 0.751
Hg: 0.000 0.000 0.500
Hg: 0.500 0.500 0.000

The energy relative to the elements, uncorrected is -0.96 eV per atom. The total energy comes out at -0.0906 Ha/atom.

***

Crystalline SiTe3Pt at its relaxed geometry. Source: Alexandria, functional PBE.

Cell: 5.299 5.299 5.299 Å, 90.00 90.00 90.00°
Atoms (fractional coordinates):
Si: 0.500 0.500 0.500
Te: 0.000 0.000 0.500
Te: 0.500 0.000 0.000
Te: 0.000 0.500 0.000
Pt: 0.000 0.000 0.000

The energy relative to the elements, uncorrected is 0.63 eV per atom. The total energy comes out at -0.1304 Ha/atom.

***

Crystalline SrTePCl2 at its relaxed geometry. Source: Alexandria, functional PBE.

Cell: 5.336 5.336 6.559 Å, 90.00 90.00 90.00°
Atoms (fractional coordinates):
Sr: 0.000 0.000 0.000
Cl: 0.000 0.500 0.000
Cl: 0.500 0.000 0.000
P: 0.000 0.000 0.500
Te: 0.500 0.500 0.500

The energy relative to the elements, uncorrected is -0.32 eV per atom. The total energy comes out at -0.1140 Ha/atom.

***

Crystalline NaZn2Pd4 at its relaxed geometry. Source: Alexandria, functional PBE.

Cell: 5.295 5.295 5.295 Å, 110.16 109.13 109.13°
Atoms (fractional coordinates):
Pd: 0.000 0.500 0.000
Pd: 0.000 0.000 0.500
Pd: 0.500 0.500 0.500
Pd: 0.500 0.000 0.000
Na: 0.000 0.000 0.000
Zn: 0.500 0.000 0.500
Zn: 0.500 0.500 0.000

For the formation energy, the calculation gives -183 meV per atom. The total energy comes out at -0.1361 Ha/atom.

***

Crystalline Os3Rh at its relaxed geometry. Source: Alexandria, functional PBE.

Cell: 3.281 3.281 5.471 Å, 90.00 90.00 90.00°
Atoms (fractional coordinates):
Os: 0.000 0.000 0.250
Os: 0.500 0.500 0.000
Os: 0.000 0.000 0.750
Rh: 0.500 0.500 0.500

For the formation energy, the calculation gives 607 meV per atom. The total energy comes out at -0.3547 Ha/atom.

***

Crystalline CaMnCuSi at its relaxed geometry. Source: Alexandria, functional PBE.

Cell: 3.242 3.242 6.563 Å, 90.00 90.00 90.00°
Atoms (fractional coordinates):
Mn: 0.500 0.500 0.815
Si: 0.000 0.000 0.984
Ca: 0.500 0.500 0.305
Cu: 0.000 0.000 0.617

The energy relative to the elements, uncorrected is -0.04 eV per atom. The total energy comes out at -0.1916 Ha/atom.

***

Crystalline HgPtSe2 at its relaxed geometry. Source: Alexandria, functional PBE.

Cell: 3.749 3.749 9.214 Å, 90.00 90.00 120.00°
Atoms (fractional coordinates):
Se: 0.667 0.333 0.138
Se: 0.333 0.667 0.853
Hg: 0.333 0.667 0.469
Pt: 0.000 0.000 0.996

The energy relative to the elements, uncorrected is -0.29 eV per atom. The total energy comes out at -0.1330 Ha/atom.

***

Crystalline Pm5CoTe2 at its relaxed geometry. Source: Alexandria, functional PBE.

Cell: 8.215 8.632 12.867 Å, 90.00 90.00 90.00°
Atoms (fractional coordinates):
Pm: 0.821 0.035 0.933
Pm: 0.036 0.250 0.499
Pm: 0.374 0.750 0.309
Pm: 0.679 0.465 0.433
Pm: 0.626 0.250 0.691
Pm: 0.650 0.750 0.694
Pm: 0.179 0.965 0.067
Pm: 0.679 0.035 0.433
Pm: 0.179 0.535 0.067
Pm: 0.321 0.965 0.567
Pm: 0.150 0.250 0.806
Pm: 0.321 0.535 0.567
Pm: 0.850 0.750 0.194
Pm: 0.874 0.250 0.191
Pm: 0.536 0.750 0.001
Pm: 0.126 0.750 0.809
Pm: 0.464 0.250 0.999
Pm: 0.821 0.465 0.933
Pm: 0.964 0.750 0.501
Pm: 0.350 0.250 0.306
Co: 0.565 0.750 0.487
Co: 0.065 0.250 0.013
Co: 0.435 0.250 0.513
Co: 0.935 0.750 0.987
Te: 0.432 0.990 0.822
Te: 0.932 0.490 0.678
Te: 0.932 0.010 0.678
Te: 0.432 0.510 0.822
Te: 0.068 0.990 0.322
Te: 0.568 0.490 0.178
Te: 0.068 0.510 0.322
Te: 0.568 0.010 0.178

The energy relative to the elements, uncorrected is -0.76 eV per atom. The total energy comes out at -0.1985 Ha/atom.

***

Crystalline Sr3Er2NpN6 at its relaxed geometry. Source: Alexandria, functional PBE.

Cell: 6.085 6.085 6.322 Å, 99.24 99.24 119.99°
Atoms (fractional coordinates):
N: 0.933 0.624 0.797
N: 0.760 0.760 0.202
N: 0.240 0.240 0.798
N: 0.067 0.376 0.203
N: 0.376 0.067 0.203
N: 0.624 0.933 0.797
Sr: 0.500 0.500 0.500
Sr: 0.833 0.167 0.500
Sr: 0.167 0.833 0.500
Er: 0.333 0.667 0.000
Er: 0.667 0.333 0.000
Np: 0.000 0.000 0.000

The energy relative to the elements, uncorrected is -1.23 eV per atom. The total energy comes out at -0.2813 Ha/atom.

***

Crystalline Tc2AsOs at its relaxed geometry. Source: Alexandria, functional PBE.

Cell: 5.146 5.146 5.146 Å, 146.41 129.10 62.37°
Atoms (fractional coordinates):
As: 0.750 0.250 0.500
Tc: 0.974 0.974 0.000
Tc: 0.526 0.526 0.000
Os: 0.250 0.750 0.500

For the formation energy, the calculation gives 145 meV per atom. The total energy comes out at -0.3310 Ha/atom.

***

Crystalline Pr8In2Pt at its relaxed geometry. Source: Alexandria, functional PBE.

Cell: 5.730 9.705 9.705 Å, 121.95 108.21 108.21°
Atoms (fractional coordinates):
Pr: 0.272 0.908 0.652
Pr: 0.637 0.636 0.636
Pr: 0.753 0.423 0.183
Pr: 0.002 0.221 0.825
Pr: 0.002 0.825 0.221
Pr: 0.753 0.183 0.423
Pr: 0.974 0.123 0.123
Pr: 0.272 0.652 0.908
Pt: 0.335 0.011 0.011
In: 0.500 0.331 0.722
In: 0.500 0.722 0.331

For the formation energy, the calculation gives -353 meV per atom. The total energy comes out at -0.1792 Ha/atom.

***

Crystalline PmBPd6 at its relaxed geometry. Source: Alexandria, functional PBE.

Cell: 5.661 5.661 5.990 Å, 61.80 61.80 60.00°
Atoms (fractional coordinates):
Pm: 0.500 0.500 0.500
Pd: 0.575 0.095 0.235
Pd: 0.905 0.905 0.765
Pd: 0.095 0.095 0.235
Pd: 0.095 0.575 0.235
Pd: 0.425 0.905 0.765
Pd: 0.905 0.425 0.765
B: 0.000 0.000 0.000

For the formation energy, the calculation gives -418 meV per atom. The total energy comes out at -0.2110 Ha/atom.

***

Crystalline K2Zn5As4 at its relaxed geometry. Source: Alexandria, functional PBE.

Cell: 6.859 6.859 11.744 Å, 90.00 90.00 117.01°
Atoms (fractional coordinates):
As: 0.919 0.603 0.250
As: 0.721 0.721 0.599
As: 0.397 0.081 0.750
As: 0.279 0.279 0.401
As: 0.721 0.721 0.901
As: 0.279 0.279 0.099
As: 0.603 0.919 0.250
As: 0.081 0.397 0.750
K: 0.212 0.788 0.500
K: 0.212 0.788 0.000
K: 0.788 0.212 0.500
K: 0.788 0.212 0.000
Zn: 0.753 0.466 0.750
Zn: 0.346 0.346 0.892
Zn: 0.010 0.010 0.250
Zn: 0.990 0.990 0.750
Zn: 0.654 0.654 0.392
Zn: 0.466 0.753 0.750
Zn: 0.654 0.654 0.108
Zn: 0.346 0.346 0.608
Zn: 0.534 0.247 0.250
Zn: 0.247 0.534 0.250

For the formation energy, the calculation gives -338 meV per atom. The total energy comes out at -0.1032 Ha/atom.

***

Crystalline SrCu2Au4 at its relaxed geometry. Source: Alexandria, functional PBE.

Cell: 5.266 5.695 5.695 Å, 77.53 62.37 62.37°
Atoms (fractional coordinates):
Cu: 0.250 0.500 0.500
Cu: 0.750 0.500 0.500
Au: 0.698 0.603 0.000
Au: 0.698 0.000 0.603
Au: 0.302 0.397 0.000
Au: 0.302 0.000 0.397
Sr: 0.000 0.000 0.000

For the formation energy, the calculation gives -288 meV per atom. The total energy comes out at -0.1313 Ha/atom.

***

Crystalline NiOsRh3 at its relaxed geometry. Source: Alexandria, functional PBE.

Cell: 2.680 6.805 8.655 Å, 90.00 90.00 101.37°
Atoms (fractional coordinates):
Ni: 0.945 0.388 0.250
Ni: 0.055 0.612 0.750
Rh: 0.163 0.826 0.501
Rh: 0.163 0.826 0.999
Rh: 0.837 0.174 0.001
Rh: 0.837 0.174 0.499
Rh: 0.401 0.303 0.750
Rh: 0.599 0.697 0.250
Os: 0.279 0.058 0.250
Os: 0.721 0.942 0.750

For the formation energy, the calculation gives 393 meV per atom. The total energy comes out at -0.2727 Ha/atom.

***

Crystalline Pa3Sb3P at its relaxed geometry. Source: Alexandria, functional PBE.

Cell: 7.575 7.575 7.674 Å, 92.14 92.14 114.21°
Atoms (fractional coordinates):
Pa: 0.460 0.150 0.276
Pa: 0.850 0.540 0.724
Pa: 0.540 0.850 0.724
Pa: 0.150 0.460 0.276
Pa: 0.954 0.954 0.221
Pa: 0.046 0.046 0.779
P: 0.733 0.733 0.951
P: 0.267 0.267 0.049
Sb: 0.179 0.821 0.500
Sb: 0.780 0.220 0.000
Sb: 0.611 0.611 0.361
Sb: 0.220 0.780 0.000
Sb: 0.389 0.389 0.639
Sb: 0.821 0.179 0.500

The energy relative to the elements, uncorrected is -0.39 eV per atom. The total energy comes out at -0.2574 Ha/atom.